This record from the Alexandria database describes crystalline Al6ZnCu12 at its relaxed geometry. The functional is PBE.

ΔE_f, kJ/mol of formula units: -168
Total magnetic moment, μB/atom: 0.000

Unit cell a=6.8108 b=6.8108 c=6.8108 alpha=107.03 beta=107.03 gamma=107.03
Element x y z (fractional)
Cu (0.6912, 0.5884, 0.9654)
Cu (0.9011, 0.3232, 0.0168)
Al (0.7720, 0.3454, 0.6408)
Al (0.6546, 0.3592, 0.2280)
Cu (0.3232, 0.0168, 0.9011)
Cu (0.5884, 0.9654, 0.6912)
Cu (0.3088, 0.4116, 0.0346)
Cu (0.4116, 0.0346, 0.3088)
Cu (0.9654, 0.6912, 0.5884)
Al (0.6408, 0.7720, 0.3454)
Al (0.3592, 0.2280, 0.6546)
Cu (0.6768, 0.9832, 0.0989)
Zn (0.0000, 0.0000, 0.0000)
Cu (0.0168, 0.9011, 0.3232)
Cu (0.0989, 0.6768, 0.9832)
Al (0.3454, 0.6408, 0.7720)
Cu (0.0346, 0.3088, 0.4116)
Al (0.2280, 0.6546, 0.3592)
Cu (0.9832, 0.0989, 0.6768)